First-principles (PBE) data for a geometry-optimized Ca2Sm2Hg3 structure, as listed in Alexandria via LeMat-Bulk.

```
data_Ca2Sm2Hg3
_chemical_formula_sum 'Ca6 Sm6 Hg9'
_cell_length_a 5.3142
_cell_length_b 5.3142
_cell_length_c 25.8579
_cell_angle_alpha 90.00
_cell_angle_beta 90.00
_cell_angle_gamma 120.00
_space_group_name_H-M_alt 'R -3 m'
_space_group_IT_number 166
_space_group_name_Hall '-R 3 2"'
loop_
_atom_site_label
_atom_site_type_symbol
_atom_site_fract_x
_atom_site_fract_y
_atom_site_fract_z
_atom_site_occupancy
Ca1 Ca 0.0000 0.0000 0.1247 1
Sm1 Sm 0.0000 0.0000 0.3759 1
Hg1 Hg 0.0000 0.0000 0.2549 1
Hg2 Hg 0.0000 0.0000 0.5000 1
```

Calculated values
- Calculated volume: 211 Å³/f.u.
- Total moment: 0.00 μB/cell
- ΔH_f (0 K): -0.374 eV/atom